Here is LiSbTe3O12 at its PBEsol-relaxed geometry from Alexandria via LeMat-Bulk. Energies are from SCAN.

a = 4.8379 Å, b = 5.1981 Å, c = 8.4302 Å
α = 90.00°, β = 90.00°, γ = 90.31°
Sites, in units of the cell vectors:
O 0.2612 0.1464 0.2583
O 0.2145 0.1938 0.9295
Te 0.0000 0.5000 0.9135
Sb 0.0000 0.0000 0.0972
O 0.2876 0.1827 0.5822
Te 0.5000 0.5000 0.6018
Li 0.5000 0.5000 0.2058
O 0.2460 0.6431 0.7514
O 0.2199 0.6773 0.0781
Te 0.5000 0.0000 0.4166
O 0.7801 0.3227 0.0781
O 0.7855 0.8062 0.9295
O 0.7388 0.8536 0.2583
O 0.2919 0.6774 0.4267
O 0.7081 0.3226 0.4267
O 0.7540 0.3569 0.7514
O 0.7124 0.8173 0.5822

Output
The symmetry is P2. As for the raw total energy: -14.51 eV/atom. Its uncorrected formation energy is -1203 meV/atom. The energy above the lowest structure with this stoichiometry comes out at 3.1 meV per atom.



Here is Li4SbTe3O12 at its PBEsol-relaxed geometry from Alexandria via LeMat-Bulk. Energies are from SCAN.

a = 5.0658 Å, b = 5.1675 Å, c = 9.0351 Å
α = 90.00°, β = 90.00°, γ = 95.20°
Sites, in units of the cell vectors:
Te 0.5000 0.5000 0.6026
O 0.2885 0.1475 0.5651
Li 0.0000 0.0000 0.6849
O 0.2121 0.6966 0.7740
Sb 0.0000 0.0000 0.1036
Li 0.5000 0.0000 0.8530
O 0.7879 0.3034 0.7740
O 0.2170 0.2056 0.9399
O 0.2876 0.6510 0.4427
O 0.7124 0.3490 0.4427
O 0.7830 0.7944 0.9399
Te 0.5000 0.0000 0.4049
O 0.2093 0.6894 0.0771
O 0.7907 0.3106 0.0771
Te 0.0000 0.5000 0.9143
Li 0.5000 0.5000 0.1602
O 0.7115 0.8525 0.5651
Li 0.0000 0.5000 0.3244
O 0.2346 0.1875 0.2478
O 0.7654 0.8125 0.2478

Output
The symmetry is P2. As for the raw total energy: -13.19 eV/atom. Its uncorrected formation energy is -1521 meV/atom. The energy above the lowest structure with this stoichiometry comes out at 0.0 meV per atom.



Here is LiSbTe3O12 at its PBEsol-relaxed geometry from Alexandria via LeMat-Bulk. Energies are from SCAN.

a = 5.0443 Å, b = 5.2795 Å, c = 7.3068 Å
α = 86.22°, β = 89.88°, γ = 89.99°
Sites, in units of the cell vectors:
O 0.6284 0.4783 0.7450
O 0.2007 0.3057 0.9258
O 0.6672 0.1730 0.0500
O 0.8678 0.9899 0.7443
O 0.1860 0.6829 0.5688
O 0.3587 0.4979 0.2495
Te 0.9975 0.9962 0.4968
O 0.1385 0.9980 0.2566
O 0.8185 0.6671 0.0648
Sb 0.0012 0.9942 0.0060
O 0.6802 0.8162 0.4289
O 0.3143 0.1824 0.5654
Te 0.4986 0.5019 0.4944
O 0.3220 0.8085 0.9291
Te 0.5012 0.4987 0.0022
O 0.8116 0.3124 0.4271
Li 0.5024 0.0752 0.7882

Output
The symmetry is P1. As for the raw total energy: -14.51 eV/atom. Its uncorrected formation energy is -1206 meV/atom. The energy above the lowest structure with this stoichiometry comes out at 0.0 meV per atom.



Here is Li4SbTe3O12 at its PBEsol-relaxed geometry from Alexandria via LeMat-Bulk. Energies are from SCAN.

a = 5.2115 Å, b = 5.5509 Å, c = 7.6271 Å
α = 95.04°, β = 90.01°, γ = 89.97°
Sites, in units of the cell vectors:
Sb 0.0001 0.9957 0.0025
Li 0.4991 0.9175 0.2863
Te 0.5005 0.4955 0.0027
O 0.3262 0.8351 0.0554
O 0.3671 0.5160 0.7562
Te 0.4986 0.4899 0.5051
Li 0.9920 0.4281 0.2831
O 0.8607 0.0273 0.2552
O 0.1660 0.3231 0.0555
O 0.6286 0.5236 0.2477
O 0.1722 0.7049 0.4189
O 0.8094 0.6986 0.9193
Li 0.0032 0.4219 0.7948
Li 0.5058 0.9271 0.7891
O 0.2987 0.1759 0.4191
O 0.1393 0.0167 0.7417
Te 0.9996 0.9994 0.5009
O 0.7003 0.1894 0.9219
O 0.8508 0.3214 0.5581
O 0.6819 0.8505 0.5577

Output
The symmetry is P1. As for the raw total energy: -13.17 eV/atom. Its uncorrected formation energy is -1503 meV/atom. The energy above the lowest structure with this stoichiometry comes out at 18.3 meV per atom.